Record 1
DFT (PBE) results for a relaxed Hf5MnGe5 crystal.

```
Hf5MnGe5
1.0
-1.0936 -5.2341 0.4918
3.4507 1.5168 -5.4987
4.5415 -0.4632 5.1692
Hf Mn Ge
5 1 5
direct
0.6835 0.3670 0.3278
0.6066 0.2132 0.7215
0.0000 0.0000 0.5000
0.3934 0.7868 0.2785
0.3165 0.6330 0.6722
0.0000 0.0000 0.0000
0.8274 0.6547 0.1095
0.8333 0.6666 0.7003
0.5000 0.0000 0.0000
0.1667 0.3334 0.2997
0.1726 0.3453 0.8905
```

Record 2
DFT (PBE) results for a relaxed AlSnPb2 crystal.

```
AlSnPb2
1.0
-0.2833 0.4792 4.6329
-1.3096 -4.6910 0.4051
4.6991 -1.2757 0.4193
Pb Sn Al
2 1 1
direct
0.0000 0.0000 0.5000
0.0000 0.5000 0.0000
0.5000 0.0000 0.0000
0.5000 0.5000 0.5000
```

Record 3
DFT (PBE) results for a relaxed Tb4Al2ZnIn crystal.

```
Tb4Al2ZnIn
1.0
5.1691 0.0000 0.0000
2.5846 4.4766 0.0000
2.5846 1.4922 8.4289
Tb Al Zn In
4 2 1 1
direct
0.3790 0.3790 0.8630
0.8713 0.8713 0.3862
0.1287 0.1287 0.6138
0.6210 0.6210 0.1370
0.7494 0.7494 0.7518
0.2506 0.2506 0.2482
0.5000 0.5000 0.5000
0.0000 0.0000 0.0000
```

Record 4
DFT (PBE) results for a relaxed As2IrAu crystal.

```
As2IrAu
1.0
3.0196 0.0000 0.0000
0.0000 3.0196 0.0000
0.0000 0.0000 7.7122
As Ir Au
2 1 1
direct
0.0000 0.0000 0.9636
0.0000 0.0000 0.5364
0.5000 0.5000 0.7500
0.5000 0.5000 0.2500
```

no.,DFT formation energy (eV per atom),V (Å³ per atom),D(E_F) (states/eV per atom)
1,-0.254,19.464,0.5368
2,0.178,27.863,0.5274
3,-0.400,24.381,0.5519
4,0.159,17.580,0.6910